Entry 1:
TaAlTc2, relaxed, DFT PBE; ΔH_f (0 K) = -0.057 eV/atom; spin magnetization = 0.0 μB per cell; SG = No. 166
1.0
3.012 0.000 0.000
-1.506 2.608 0.000
0.000 0.000 24.394
Ta Al Tc
3 3 6
direct
0.000 0.000 0.000 Ta
0.333 0.667 0.667 Ta
0.667 0.333 0.333 Ta
0.000 0.000 0.500 Al
0.333 0.667 0.167 Al
0.667 0.333 0.833 Al
0.000 0.000 0.250 Tc
0.000 0.000 0.750 Tc
0.333 0.667 0.417 Tc
0.333 0.667 0.916 Tc
0.667 0.333 0.084 Tc
0.667 0.333 0.583 Tc

---

Entry 2:
TaAlTc2, relaxed, DFT PBE; ΔH_f (0 K) = -0.041 eV/atom; spin magnetization = 0.0 μB per cell; SG = No. 160
1.0
2.822 0.000 0.000
-1.411 2.444 0.000
0.000 0.000 27.387
Ta Al Tc
3 3 6
direct
0.000 0.000 0.000 Ta
0.333 0.667 0.667 Ta
0.667 0.333 0.333 Ta
0.000 0.000 0.755 Al
0.333 0.667 0.422 Al
0.667 0.333 0.088 Al
0.000 0.000 0.244 Tc
0.000 0.000 0.501 Tc
0.333 0.667 0.168 Tc
0.333 0.667 0.911 Tc
0.667 0.333 0.577 Tc
0.667 0.333 0.835 Tc

---

Entry 3:
TaAlTc3, relaxed, DFT PBE; ΔH_f (0 K) = 1.633 eV/atom; spin magnetization = 2.6 μB per cell; SG = No. 221
1.0
4.724 0.000 0.000
0.000 4.724 0.000
0.000 0.000 4.724
Ta Al Tc
1 1 3
direct
0.000 0.000 0.000 Ta
0.500 0.500 0.500 Al
0.000 0.000 0.500 Tc
0.000 0.500 0.000 Tc
0.500 0.000 0.000 Tc

---

Entry 4:
Ta2Al3Tc4, relaxed, DFT PBE; ΔH_f (0 K) = -0.425 eV/atom; spin magnetization = 0.0 μB per cell; SG = No. 164
1.0
4.426 0.000 0.000
-2.213 3.833 0.000
0.000 0.000 8.134
Ta Al Tc
2 3 4
direct
0.333 0.667 0.283 Ta
0.667 0.333 0.717 Ta
0.000 0.000 0.500 Al
0.333 0.667 0.934 Al
0.667 0.333 0.066 Al
0.000 0.000 0.152 Tc
0.000 0.000 0.848 Tc
0.333 0.667 0.610 Tc
0.667 0.333 0.390 Tc

---

Entry 5:
Ta2AlTc, relaxed, DFT PBE; ΔH_f (0 K) = -0.271 eV/atom; spin magnetization = 0.0 μB per cell; SG = No. 44
1.0
3.204 0.000 0.000
0.000 4.528 0.000
0.000 0.000 9.127
Ta Al Tc
4 2 2
direct
0.000 0.000 0.000 Ta
0.000 0.500 0.243 Ta
0.500 0.000 0.743 Ta
0.500 0.500 0.500 Ta
0.000 0.000 0.471 Al
0.500 0.500 0.971 Al
0.000 0.500 0.731 Tc
0.500 0.000 0.231 Tc

---

Entry 6:
Ta2AlTc, relaxed, DFT PBE; ΔH_f (0 K) = 0.452 eV/atom; spin magnetization = 0.0 μB per cell; SG = No. 122
1.0
7.387 0.000 0.000
0.000 7.387 0.000
0.000 0.000 5.403
Ta Al Tc
8 4 4
direct
0.212 0.750 0.125 Ta
0.250 0.212 0.875 Ta
0.250 0.288 0.375 Ta
0.288 0.750 0.625 Ta
0.712 0.250 0.625 Ta
0.750 0.712 0.375 Ta
0.750 0.788 0.875 Ta
0.788 0.250 0.125 Ta
0.000 0.000 0.500 Al
0.000 0.500 0.750 Al
0.500 0.000 0.250 Al
0.500 0.500 0.000 Al
0.000 0.000 0.000 Tc
0.000 0.500 0.250 Tc
0.500 0.000 0.750 Tc
0.500 0.500 0.500 Tc

---

Entry 7:
Ta2AlTc, relaxed, DFT PBE; ΔH_f (0 K) = -0.169 eV/atom; spin magnetization = 0.0 μB per cell; SG = No. 12
1.0
5.547 0.000 0.000
0.000 8.953 0.000
-0.884 0.000 2.656
Ta Al Tc
4 2 2
direct
0.250 0.250 0.000 Ta
0.250 0.750 0.000 Ta
0.750 0.250 0.000 Ta
0.750 0.750 0.000 Ta
0.000 0.000 0.500 Al
0.500 0.500 0.500 Al
0.000 0.500 0.500 Tc
0.500 0.000 0.500 Tc

---

Entry 8:
Ta2AlTc, relaxed, DFT PBE; ΔH_f (0 K) = -0.176 eV/atom; spin magnetization = 0.0 μB per cell; SG = No. 123
1.0
3.321 0.000 0.000
0.000 3.321 0.000
0.000 0.000 5.983
Ta Al Tc
2 1 1
direct
0.000 0.000 0.246 Ta
0.000 0.000 0.754 Ta
0.500 0.500 0.500 Al
0.500 0.500 0.000 Tc

---

Entry 9:
Ta2AlTc, relaxed, DFT PBE; ΔH_f (0 K) = -0.244 eV/atom; spin magnetization = 0.0 μB per cell; SG = No. 99
1.0
3.164 0.000 0.000
0.000 3.164 0.000
0.000 0.000 6.642
Ta Al Tc
2 1 1
direct
0.000 0.000 0.000 Ta
0.500 0.500 0.286 Ta
0.500 0.500 0.727 Al
0.000 0.000 0.510 Tc

---

Entry 10:
Ta2AlTc, relaxed, DFT PBE; ΔH_f (0 K) = -0.143 eV/atom; spin magnetization = 0.0 μB per cell; SG = No. 139
1.0
4.156 0.000 0.000
0.000 4.156 0.000
0.000 0.000 7.689
Ta Al Tc
4 2 2
direct
0.000 0.500 0.250 Ta
0.000 0.500 0.750 Ta
0.500 0.000 0.250 Ta
0.500 0.000 0.750 Ta
0.000 0.000 0.000 Al
0.500 0.500 0.500 Al
0.000 0.000 0.500 Tc
0.500 0.500 0.000 Tc

---

Entry 11:
TaAlTc2, relaxed, DFT PBE; ΔH_f (0 K) = -0.370 eV/atom; spin magnetization = 0.0 μB per cell; SG = No. 44
1.0
3.160 0.000 0.000
0.000 4.305 0.000
0.000 0.000 9.002
Ta Al Tc
2 2 4
direct
0.000 0.000 0.000 Ta
0.500 0.500 0.500 Ta
0.000 0.500 0.766 Al
0.500 0.000 0.266 Al
0.000 0.000 0.515 Tc
0.000 0.500 0.255 Tc
0.500 0.000 0.755 Tc
0.500 0.500 0.015 Tc

---

Entry 12:
TaAlTc, relaxed, DFT PBE; ΔH_f (0 K) = 0.553 eV/atom; spin magnetization = 0.0 μB per cell; SG = No. 216
1.0
6.142 0.000 0.000
0.000 6.142 0.000
0.000 0.000 6.142
Ta Al Tc
4 4 4
direct
0.000 0.000 0.000 Ta
0.000 0.500 0.500 Ta
0.500 0.000 0.500 Ta
0.500 0.500 0.000 Ta
0.250 0.250 0.250 Al
0.250 0.750 0.750 Al
0.750 0.250 0.750 Al
0.750 0.750 0.250 Al
0.250 0.250 0.750 Tc
0.250 0.750 0.250 Tc
0.750 0.250 0.250 Tc
0.750 0.750 0.750 Tc

---

Entry 13:
Ta2AlTc, relaxed, DFT PBE; ΔH_f (0 K) = -0.164 eV/atom; spin magnetization = 0.0 μB per cell; SG = No. 10
1.0
2.808 0.000 0.000
0.000 4.473 0.000
-1.106 0.000 5.268
Ta Al Tc
2 1 1
direct
0.233 0.000 0.257 Ta
0.767 0.000 0.743 Ta
0.500 0.500 0.000 Al
0.000 0.500 0.500 Tc

---

Entry 14:
TaAlTc2, relaxed, DFT PBE; ΔH_f (0 K) = -0.028 eV/atom; spin magnetization = 0.0 μB per cell; SG = No. 216
1.0
6.277 0.000 0.000
0.000 6.277 0.000
0.000 0.000 6.277
Ta Al Tc
4 4 8
direct
0.000 0.000 0.000 Ta
0.000 0.500 0.500 Ta
0.500 0.000 0.500 Ta
0.500 0.500 0.000 Ta
0.250 0.250 0.250 Al
0.250 0.750 0.750 Al
0.750 0.250 0.750 Al
0.750 0.750 0.250 Al
0.000 0.000 0.500 Tc
0.000 0.500 0.000 Tc
0.250 0.250 0.750 Tc
0.250 0.750 0.250 Tc
0.500 0.000 0.000 Tc
0.500 0.500 0.500 Tc
0.750 0.250 0.250 Tc
0.750 0.750 0.750 Tc

---

Entry 15:
TaAl3Tc, relaxed, DFT PBE; ΔH_f (0 K) = 1.442 eV/atom; spin magnetization = 3.5 μB per cell; SG = No. 221
1.0
4.930 0.000 0.000
0.000 4.930 0.000
0.000 0.000 4.930
Ta Al Tc
1 3 1
direct
0.000 0.000 0.000 Ta
0.000 0.000 0.500 Al
0.000 0.500 0.000 Al
0.500 0.000 0.000 Al
0.500 0.500 0.500 Tc

---

no.,calculated density (g/cm³)
1,10.50
2,10.65
3,7.91
4,10.05
5,12.21
6,10.97
7,12.26
8,12.25
9,12.16
10,12.17
11,10.95
12,8.77
13,12.22
14,10.85
15,4.99